! PmCr4Co3O12 (PBE+U, optimized geometry); values from VASP
&SYSTEM
  ibrav = 0, nat = 20, ntyp = 4
/
ATOMIC_SPECIES
Pm 145.00 Pm.upf
Cr 52.00 Cr.upf
Co 58.93 Co.upf
O 16.00 O.upf
ATOMIC_POSITIONS crystal
Pm 0.0000 0.0000 0.0000
Cr 0.0000 0.0000 0.5000
Cr 0.0000 0.5000 0.0000
Cr 0.5000 0.0000 0.0000
Cr 0.5000 0.5000 0.5000
Co 0.0000 0.5000 0.5000
Co 0.5000 0.0000 0.5000
Co 0.5000 0.5000 0.0000
O 0.1410 0.3113 0.8297
O 0.1703 0.4816 0.3113
O 0.1703 0.8590 0.6887
O 0.3113 0.1703 0.4816
O 0.3113 0.8297 0.1410
O 0.4816 0.3113 0.1703
O 0.5184 0.6887 0.8297
O 0.6887 0.1703 0.8590
O 0.6887 0.8297 0.5184
O 0.8297 0.1410 0.3113
O 0.8297 0.5184 0.6887
O 0.8590 0.6887 0.1703
CELL_PARAMETERS angstrom
-3.7057 3.7057 3.7057
3.7057 -3.7057 3.7057
3.7057 3.7057 -3.7057
! Raw total energy, hartree per atom: -0.262
! Space group: Im-3
! Theoretical density, kg/m³: 5888